Density functional theory data (PBE) for crystalline HfInCuRe at its relaxed geometry.

abc: 4.619 4.619 4.619
angles: 60.00 60.00 60.00
Sites, in units of the cell vectors:
Hf1 0.000 0.000 0.000
In1 0.250 0.250 0.250
Cu1 0.500 0.500 0.500
Re1 0.750 0.750 0.750

## Properties
Symmetry: F-43m, No. 216
Energy relative to the lowest polymorph listed for this composition in meV/atom: 224
Spin magnetization in μB per cell: 0.002


Density functional theory data (PBE) for crystalline BiPd19 at its relaxed geometry.

abc: 5.602 5.645 50.345
angles: 90.00 90.00 90.00
Sites, in units of the cell vectors:
Bi1 0.125 0.375 0.130
Bi2 0.375 0.125 0.870
Bi3 0.625 0.875 0.130
Bi4 0.875 0.625 0.870
Pd1 0.125 0.375 0.212
Pd2 0.125 0.375 0.290
Pd3 0.125 0.375 0.366
Pd4 0.125 0.375 0.443
Pd5 0.125 0.375 0.519
Pd6 0.125 0.375 0.596
Pd7 0.125 0.375 0.672
Pd8 0.125 0.375 0.749
Pd9 0.125 0.375 0.827
Pd10 0.125 0.875 0.134
Pd11 0.125 0.875 0.212
Pd12 0.125 0.875 0.290
Pd13 0.125 0.875 0.366
Pd14 0.125 0.875 0.443
Pd15 0.125 0.875 0.519
Pd16 0.125 0.875 0.596
Pd17 0.125 0.875 0.672
Pd18 0.125 0.875 0.749
Pd19 0.125 0.875 0.827
Pd20 0.375 0.125 0.173
Pd21 0.375 0.125 0.251
Pd22 0.375 0.125 0.328
Pd23 0.375 0.125 0.404
Pd24 0.375 0.125 0.481
Pd25 0.375 0.125 0.557
Pd26 0.375 0.125 0.634
Pd27 0.375 0.125 0.710
Pd28 0.375 0.125 0.787
Pd29 0.375 0.625 0.173
Pd30 0.375 0.625 0.251
Pd31 0.375 0.625 0.328
Pd32 0.375 0.625 0.404
Pd33 0.375 0.625 0.481
Pd34 0.375 0.625 0.557
Pd35 0.375 0.625 0.634
Pd36 0.375 0.625 0.710
Pd37 0.375 0.625 0.788
Pd38 0.375 0.625 0.867
Pd39 0.625 0.375 0.133
Pd40 0.625 0.375 0.212
Pd41 0.625 0.375 0.290
Pd42 0.625 0.375 0.366
Pd43 0.625 0.375 0.443
Pd44 0.625 0.375 0.519
Pd45 0.625 0.375 0.596
Pd46 0.625 0.375 0.672
Pd47 0.625 0.375 0.749
Pd48 0.625 0.375 0.827
Pd49 0.625 0.875 0.213
Pd50 0.625 0.875 0.290
Pd51 0.625 0.875 0.366
Pd52 0.625 0.875 0.443
Pd53 0.625 0.875 0.519
Pd54 0.625 0.875 0.596
Pd55 0.625 0.875 0.672
Pd56 0.625 0.875 0.749
Pd57 0.625 0.875 0.827
Pd58 0.875 0.125 0.173
Pd59 0.875 0.125 0.251
Pd60 0.875 0.125 0.328
Pd61 0.875 0.125 0.404
Pd62 0.875 0.125 0.481
Pd63 0.875 0.125 0.557
Pd64 0.875 0.125 0.634
Pd65 0.875 0.125 0.710
Pd66 0.875 0.125 0.788
Pd67 0.875 0.125 0.866
Pd68 0.875 0.625 0.173
Pd69 0.875 0.625 0.251
Pd70 0.875 0.625 0.328
Pd71 0.875 0.625 0.404
Pd72 0.875 0.625 0.481
Pd73 0.875 0.625 0.557
Pd74 0.875 0.625 0.634
Pd75 0.875 0.625 0.710
Pd76 0.875 0.625 0.788

## Properties
Symmetry: P-1, No. 2
Energy relative to the lowest polymorph listed for this composition in meV/atom: 0


Density functional theory data (PBE) for crystalline NaBeRe at its relaxed geometry.

abc: 4.108 4.108 4.108
angles: 60.00 60.00 60.00
Sites, in units of the cell vectors:
Na1 0.000 0.000 0.000
Be1 0.250 0.250 0.250
Re1 0.500 0.500 0.500

## Properties
Symmetry: F-43m, No. 216
Energy relative to the lowest polymorph listed for this composition in meV/atom: 0
Spin magnetization in μB per cell: 2.019


Density functional theory data (PBE) for crystalline SmInPb at its relaxed geometry.

abc: 5.150 5.150 5.150
angles: 60.00 60.00 60.00
Sites, in units of the cell vectors:
Sm1 0.000 0.000 0.000
In1 0.500 0.500 0.500
Pb1 0.750 0.750 0.750

## Properties
Symmetry: F-43m, No. 216
Energy relative to the lowest polymorph listed for this composition in meV/atom: 64
Spin magnetization in μB per cell: 0.002


Density functional theory data (PBE) for crystalline Na2HgS2 at its relaxed geometry.

abc: 7.332 18.257 7.525
angles: 90.00 90.00 90.00
Sites, in units of the cell vectors:
Na1 0.001 0.056 0.228
Na2 0.001 0.444 0.728
Na3 0.170 0.696 0.044
Na4 0.170 0.804 0.544
Na5 0.330 0.196 0.044
Na6 0.330 0.304 0.544
Na7 0.499 0.556 0.228
Na8 0.499 0.944 0.728
Na9 0.501 0.056 0.272
Na10 0.501 0.444 0.772
Na11 0.670 0.696 0.456
Na12 0.670 0.804 0.956
Na13 0.830 0.196 0.456
Na14 0.830 0.304 0.956
Na15 0.999 0.556 0.272
Na16 0.999 0.944 0.772
Hg1 0.228 0.111 0.652
Hg2 0.228 0.389 0.152
Hg3 0.272 0.611 0.652
Hg4 0.272 0.889 0.152
Hg5 0.728 0.111 0.848
Hg6 0.728 0.389 0.348
Hg7 0.772 0.611 0.848
Hg8 0.772 0.889 0.348
S1 0.201 0.179 0.387
S2 0.201 0.321 0.887
S3 0.243 0.549 0.924
S4 0.243 0.951 0.424
S5 0.257 0.049 0.924
S6 0.257 0.451 0.424
S7 0.299 0.679 0.387
S8 0.299 0.821 0.887
S9 0.701 0.179 0.113
S10 0.701 0.321 0.613
S11 0.743 0.549 0.576
S12 0.743 0.951 0.076
S13 0.757 0.049 0.576
S14 0.757 0.451 0.076
S15 0.799 0.679 0.113
S16 0.799 0.821 0.613

## Properties
Symmetry: Pbca, No. 61
E in eV/atom: -3.0019


Density functional theory data (PBE) for crystalline RbScNiSe3 at its relaxed geometry.

abc: 9.111 3.927 9.765
angles: 90.00 112.43 90.00
Sites, in units of the cell vectors:
Rb1 0.214 0.250 0.245
Rb2 0.786 0.750 0.755
Sc1 0.330 0.750 0.862
Sc2 0.670 0.250 0.138
Ni1 0.078 0.250 0.597
Ni2 0.922 0.750 0.403
Se1 0.123 0.250 0.855
Se2 0.197 0.750 0.549
Se3 0.470 0.750 0.157
Se4 0.530 0.250 0.843
Se5 0.803 0.250 0.451
Se6 0.877 0.750 0.145

## Properties
Symmetry: P2_1/m, No. 11
E in eV/atom: -5.0143
Spin magnetization in μB per cell: 2.541